1.
Computed, not measured: a geometry-optimized Sc2Se structure at the PBE level of DFT.

Lattice parameters (Å, degrees): 3.5677 7.3015 9.4708 90.00 90.00 90.00
Fractional positions:
Sc  0.7500  0.0100  0.1734
Sc  0.7500  0.5100  0.3266
Sc  0.2500  0.9900  0.8266
Sc  0.7500  0.3362  0.9461
Sc  0.7500  0.8362  0.5539
Sc  0.2500  0.1638  0.4461
Sc  0.2500  0.4900  0.6734
Sc  0.2500  0.6638  0.0539
Se  0.7500  0.6932  0.8312
Se  0.2500  0.8068  0.3312
Se  0.7500  0.1932  0.6688
Se  0.2500  0.3068  0.1688

## Properties
raw formation energy	-1.03	eV per atom

=====

2.
Computed, not measured: a geometry-optimized RuRhBr structure at the PBE level of DFT.

Lattice parameters (Å, degrees): 3.0147 3.0147 6.2391 90.00 90.00 120.00
Fractional positions:
Br  0.0000  0.0000  0.9898
Rh  0.6667  0.3333  0.3489
Ru  0.3333  0.6667  0.6614

## Properties
polymorph energy (0 for the lowest one)	0	meV per atom
raw formation energy	0.61	eV per atom

=====

3.
Computed, not measured: a geometry-optimized IrOsCl2 structure at the PBE level of DFT.

Lattice parameters (Å, degrees): 6.4193 6.4193 6.4193 153.96 104.47 81.47
Each line ends with the local moment (μB).
Fractional positions:
Cl  0.0701  0.0701  0.0000  0.10
Cl  0.6819  0.1819  0.5000  0.08
Os  0.2695  0.7695  0.5000  1.89
Ir  0.4785  0.4785  0.0000  0.95

## Properties
polymorph energy (0 for the lowest one)	718	meV per atom
raw formation energy	0.85	eV per atom

=====

4.
Computed, not measured: a geometry-optimized SrNd2PtO5 structure at the PBE level of DFT.

Lattice parameters (Å, degrees): 5.9259 6.7716 6.7716 90.00 90.00 90.00
Fractional positions:
Sr  0.0000  0.5000  0.5000
Sr  0.0000  0.0000  0.0000
Nd  0.5000  0.1737  0.3263
Nd  0.5000  0.8263  0.6737
Nd  0.5000  0.6737  0.1737
Nd  0.5000  0.3263  0.8263
Pt  0.0000  0.0000  0.5000
Pt  0.0000  0.5000  0.0000
O  0.7504  0.8568  0.3568
O  0.5000  0.5000  0.5000
O  0.7504  0.6432  0.8568
O  0.2496  0.8568  0.3568
O  0.2496  0.6432  0.8568
O  0.7504  0.1432  0.6432
O  0.7504  0.3568  0.1432
O  0.2496  0.3568  0.1432
O  0.5000  0.0000  0.0000
O  0.2496  0.1432  0.6432

## Properties
raw formation energy	-2.56	eV per atom